(1)
A plane-wave DFT calculation with PBE was carried out for crystalline ZrHg at its relaxed geometry.

## Properties
spin magnetization = 0.01 μB/f.u.
ΔE_f = 0.026 eV/atom

Cell lengths 3.180, 5.094, 5.416 Å; angles 90.00, 90.00, 90.00 degrees
Fractional coordinates of all 4 atoms:
1 Zr 0.250 0.250 0.083
2 Zr 0.750 0.750 0.917
3 Hg 0.250 0.750 0.408
4 Hg 0.750 0.250 0.592

(2)
A plane-wave DFT calculation with PBE was carried out for crystalline ZrHg at its relaxed geometry.

## Properties
spin magnetization = 0.03 μB/f.u.
ΔE_f = -0.064 eV/atom

Cell lengths 5.108, 8.638, 8.638 Å; angles 145.18, 90.00, 90.00 degrees
Fractional coordinates of all 10 atoms:
1 Zr 0.000 0.000 0.000
2 Zr 0.000 0.195 0.796
3 Zr 0.000 0.796 0.195
4 Zr 0.500 0.263 0.653
5 Zr 0.500 0.653 0.263
6 Hg 0.000 0.400 0.603
7 Hg 0.000 0.603 0.400
8 Hg 0.500 0.058 0.854
9 Hg 0.500 0.450 0.450
10 Hg 0.500 0.854 0.058

(3)
A plane-wave DFT calculation with PBE was carried out for crystalline ZrHg at its relaxed geometry.

## Properties
spin magnetization = 0.02 μB/f.u.
ΔE_f = -0.033 eV/atom

Cell lengths 3.123, 3.123, 5.135 Å; angles 90.00, 90.00, 120.00 degrees
Fractional coordinates of all 2 atoms:
1 Zr 0.000 0.000 0.000
2 Hg 0.333 0.667 0.500

(4)
A plane-wave DFT calculation with PBE was carried out for crystalline HoI at its relaxed geometry.

## Properties
spin magnetization = 0.25 μB/f.u.
calculated total energy = -24.8 eV for the cell shown

Cell lengths 6.851, 6.851, 6.851 Å; angles 90.00, 90.00, 90.00 degrees
Fractional coordinates of all 8 atoms:
1 Ho 0.000 0.000 0.000
2 Ho 0.000 0.500 0.500
3 Ho 0.500 0.000 0.500
4 Ho 0.500 0.500 0.000
5 I 0.250 0.250 0.750
6 I 0.250 0.750 0.250
7 I 0.750 0.250 0.250
8 I 0.750 0.750 0.750

(5)
A plane-wave DFT calculation with PBE was carried out for crystalline HoI2 at its relaxed geometry.

## Properties
spin magnetization = 1.00 μB/f.u.
calculated total energy = -19.5 eV for the cell shown

Cell lengths 9.479, 9.479, 9.479 Å; angles 60.00, 60.00, 60.00 degrees
Fractional coordinates of all 6 atoms:
1 Ho 0.125 0.125 0.125
2 Ho 0.875 0.875 0.875
3 I 0.000 0.000 0.000
4 I 0.000 0.000 0.500
5 I 0.000 0.500 0.000
6 I 0.500 0.000 0.000

(6)
A plane-wave DFT calculation with PBE was carried out for crystalline Ho2I at its relaxed geometry.

## Properties
spin magnetization = 0.00 μB/f.u.
ΔE to the lowest computed polymorph = 0.0 meV/atom

Cell lengths 6.913, 6.913, 4.253 Å; angles 90.00, 90.00, 90.00 degrees
Fractional coordinates of all 6 atoms:
1 Ho 0.206 0.206 0.000
2 Ho 0.294 0.706 0.500
3 Ho 0.706 0.294 0.500
4 Ho 0.794 0.794 0.000
5 I 0.000 0.000 0.500
6 I 0.500 0.500 0.000

(7)
A plane-wave DFT calculation with PBE was carried out for crystalline HoI2 at its relaxed geometry.

## Properties
spin magnetization = 0.74 μB/f.u.
calculated total energy = -12.9 eV for the cell shown

Cell lengths 6.779, 6.779, 6.779 Å; angles 60.00, 60.00, 60.00 degrees
Fractional coordinates of all 6 atoms:
1 Ho 0.125 0.125 0.125
2 Ho 0.875 0.875 0.875
3 I 0.000 0.500 0.500
4 I 0.500 0.000 0.500
5 I 0.500 0.500 0.000
6 I 0.500 0.500 0.500

(8)
A plane-wave DFT calculation with PBE was carried out for crystalline HoI4 at its relaxed geometry.

## Properties
spin magnetization = 0.00 μB/f.u.
calculated total energy = -32.3 eV for the cell shown

Cell lengths 7.668, 7.668, 10.168 Å; angles 93.69, 93.69, 119.10 degrees
Fractional coordinates of all 10 atoms:
1 Ho 0.173 0.827 0.000
2 Ho 0.827 0.173 0.000
3 I 0.103 0.103 0.828
4 I 0.160 0.524 0.179
5 I 0.352 0.352 0.558
6 I 0.476 0.840 0.821
7 I 0.524 0.160 0.179
8 I 0.648 0.648 0.442
9 I 0.840 0.476 0.821
10 I 0.897 0.897 0.172

(9)
A plane-wave DFT calculation with PBE was carried out for crystalline Ho2I at its relaxed geometry.

## Properties
spin magnetization = 0.01 μB/f.u.
ΔE to the lowest computed polymorph = 143.4 meV/atom

Cell lengths 6.624, 6.624, 6.624 Å; angles 60.00, 60.00, 60.00 degrees
Fractional coordinates of all 6 atoms:
1 Ho 0.000 0.000 0.000
2 Ho 0.000 0.000 0.500
3 Ho 0.000 0.500 0.000
4 Ho 0.500 0.000 0.000
5 I 0.375 0.375 0.375
6 I 0.625 0.625 0.625

(10)
A plane-wave DFT calculation with PBE was carried out for crystalline Ho2I at its relaxed geometry.

## Properties
spin magnetization = 5.07 μB/f.u.
ΔE to the lowest computed polymorph = 1635.6 meV/atom

Cell lengths 9.620, 9.620, 9.620 Å; angles 60.00, 60.00, 60.00 degrees
Fractional coordinates of all 6 atoms:
1 Ho 0.000 0.000 0.000
2 Ho 0.000 0.000 0.500
3 Ho 0.000 0.500 0.000
4 Ho 0.500 0.000 0.000
5 I 0.125 0.125 0.125
6 I 0.875 0.875 0.875

(11)
A plane-wave DFT calculation with PBE was carried out for crystalline HoI at its relaxed geometry.

## Properties
spin magnetization = 0.00 μB/f.u.
calculated total energy = -27.0 eV for the cell shown

Cell lengths 6.146, 6.146, 6.146 Å; angles 90.00, 90.00, 90.00 degrees
Fractional coordinates of all 8 atoms:
1 Ho 0.000 0.000 0.000
2 Ho 0.000 0.500 0.500
3 Ho 0.500 0.000 0.500
4 Ho 0.500 0.500 0.000
5 I 0.000 0.000 0.500
6 I 0.000 0.500 0.000
7 I 0.500 0.000 0.000
8 I 0.500 0.500 0.500

(12)
A plane-wave DFT calculation with PBE was carried out for crystalline HoI at its relaxed geometry.

## Properties
spin magnetization = 0.01 μB/f.u.
calculated total energy = -7.6 eV for the cell shown

Cell lengths 3.790, 3.790, 4.646 Å; angles 90.00, 90.00, 120.00 degrees
Fractional coordinates of all 2 atoms:
1 Ho 0.000 0.000 0.000
2 I 0.667 0.333 0.500